Computed, not measured: a relaxed structure of Ac3SbP2Pt8 at the PBE level of DFT.

Structure (POSCAR):
```
Ac3SbP2Pt8
1.0
5.682 0.000 0.000
-2.841 4.921 0.000
0.000 0.000 10.567
P Pt Ac Sb
2 8 3 1
Direct
0.667 0.333 0.886 P
0.333 0.667 0.114 P
0.834 0.668 0.732 Pt
0.667 0.333 0.098 Pt
0.166 0.834 0.268 Pt
0.332 0.166 0.732 Pt
0.668 0.834 0.268 Pt
0.166 0.332 0.268 Pt
0.834 0.166 0.732 Pt
0.333 0.667 0.902 Pt
0.333 0.667 0.596 Ac
0.667 0.333 0.404 Ac
0.000 0.000 0.000 Ac
0.000 0.000 0.500 Sb
```

Symmetry: P-3m1, No. 164
E_form (uncorrected), eV per atom: -0.831